# Er2MgTc

A geometry-optimized Er2MgTc structure (GGA-PBEsol, Alexandria via LeMat-Bulk).

Cell: 4.9161 4.9161 4.9161 Å, 60.00 60.00 60.00°
Last column: nearest neighbours and their distance in Å.
Fractional coordinates of all 4 atoms:
Er 0.7500 0.7500 0.7500  4 Mg 3.01, 4 Tc 3.01
Er 0.2500 0.2500 0.2500  4 Tc 3.01, 4 Mg 3.01
Tc 0.5000 0.5000 0.5000  8 Er 3.01
Mg 0.0000 0.0000 0.0000  8 Er 3.01

Output
Its formation energy is -0.002 eV/atom.

---

# Nb3HgH

A geometry-optimized Nb3HgH structure (GGA-PBEsol, Alexandria via LeMat-Bulk).

Cell: 4.1868 4.1868 4.1868 Å, 90.00 90.00 90.00°
Last column: nearest neighbours and their distance in Å.
Fractional coordinates of all 5 atoms:
Hg 0.5000 0.5000 0.5000  12 Nb 2.96
Nb 0.0000 0.0000 0.5000  2 H 2.09
Nb 0.0000 0.5000 0.0000  2 H 2.09
Nb 0.5000 0.0000 0.0000  2 H 2.09
H 0.0000 0.0000 0.0000  6 Nb 2.09

---

# BeCdRe2

A geometry-optimized BeCdRe2 structure (GGA-PBEsol, Alexandria via LeMat-Bulk).

Cell: 2.8717 2.8717 6.8227 Å, 90.00 90.00 90.00°
Last column: nearest neighbours and their distance in Å.
Fractional coordinates of all 4 atoms:
Re 0.0000 0.0000 0.8187  4 Be 2.38, 1 Re 2.47
Re 0.0000 0.0000 0.1813  4 Be 2.38, 1 Re 2.47
Cd 0.5000 0.5000 0.5000  4 Cd 2.87, 8 Re 2.98
Be 0.5000 0.5000 0.0000  8 Re 2.38

Output
Its formation energy is 0.374 eV/atom. The offset from the most stable computed form comes out at 0 meV/atom.

---

# Li2ZrAl

A geometry-optimized Li2ZrAl structure (GGA-PBEsol, Alexandria via LeMat-Bulk).

Cell: 2.9628 2.9628 8.4342 Å, 90.00 90.00 90.00°
Last column: nearest neighbours and their distance in Å.
Fractional coordinates of all 4 atoms:
Li 0.5000 0.5000 0.2283  8 Li 2.96-2.98, 4 Zr 3.29
Li 0.0000 0.0000 0.9770  4 Al 2.75, 8 Li 2.96-2.98
Zr 0.0000 0.0000 0.5289  4 Al 2.89, 4 Zr 2.96
Al 0.5000 0.5000 0.7658  4 Li 2.75, 4 Zr 2.89, 4 Al 2.96

Output
Its formation energy is -0.082 eV/atom.

---

# FeAg2Te

A geometry-optimized FeAg2Te structure (GGA-PBEsol, Alexandria via LeMat-Bulk).

Cell: 3.2542 4.3217 5.6413 Å, 112.52 106.76 90.00°
Last column: nearest neighbours and their distance in Å.
Fractional coordinates of all 4 atoms:
Ag 0.7720 0.7720 0.5440  4 Ag 2.74, 2 Fe 2.78
Ag 0.2280 0.2280 0.4560  4 Ag 2.74, 2 Fe 2.78
Te 0.0000 0.5000 0.0000  4 Fe 2.70
Fe 0.5000 0.0000 0.0000  4 Te 2.70, 4 Ag 2.78

Output
The calculation puts the uncorrected formation energy at 8.43 kcal/mol of atoms.

---

# La2ZrCl

A geometry-optimized La2ZrCl structure (GGA-PBEsol, Alexandria via LeMat-Bulk).

Cell: 3.2968 3.2968 9.3337 Å, 90.00 90.00 90.00°
Last column: nearest neighbours and their distance in Å.
Fractional coordinates of all 4 atoms:
Zr 0.0000 0.0000 0.5511  4 Cl 2.81
La 0.5000 0.5000 0.2781  4 La 3.30, 4 Zr 3.45
La 0.0000 0.0000 0.9509  4 Cl 3.18, 4 La 3.30
Cl 0.5000 0.5000 0.7200  4 Zr 2.81

Output
The calculation puts the uncorrected formation energy at -7.85 kcal/mol of atoms. The offset from the most stable computed form comes out at 230 meV/atom.

---

# Cu2SiRh

A geometry-optimized Cu2SiRh structure (GGA-PBEsol, Alexandria via LeMat-Bulk).

Cell: 2.8535 4.3371 4.3371 Å, 112.35 90.00 90.00°
Last column: nearest neighbours and their distance in Å.
Fractional coordinates of all 4 atoms:
Cu 0.0000 0.5000 0.0000  2 Cu 2.41, 4 Rh 2.60, 4 Si 2.60
Cu 0.0000 0.0000 0.5000  2 Cu 2.41, 4 Si 2.60, 4 Rh 2.60
Si 0.5000 0.5000 0.5000  2 Rh 2.41, 8 Cu 2.60
Rh 0.5000 0.0000 0.0000  2 Si 2.41, 8 Cu 2.60

Output
The calculation puts the uncorrected formation energy at -3.44 kcal/mol of atoms.

---

# TiCoSi

A geometry-optimized TiCoSi structure (GGA-PBEsol, Alexandria via LeMat-Bulk).

Cell: 3.6728 6.0533 6.8124 Å, 90.00 90.00 90.00°
Last column: nearest neighbours and their distance in Å.
Fractional coordinates of all 12 atoms:
Ti 0.7500 0.9851 0.8083  5 Si 2.59-2.60, 6 Co 2.65-2.89
Ti 0.2500 0.5149 0.3083  5 Si 2.59-2.60, 6 Co 2.65-2.89
Ti 0.7500 0.4851 0.6917  5 Si 2.59-2.60, 6 Co 2.65-2.89
Ti 0.2500 0.0149 0.1917  5 Si 2.59-2.60, 6 Co 2.65-2.89
Si 0.7500 0.2269 0.3865  4 Co 2.26-2.32
Si 0.2500 0.7731 0.6135  4 Co 2.26-2.32
Si 0.2500 0.2731 0.8865  4 Co 2.26-2.32
Si 0.7500 0.7269 0.1135  4 Co 2.26-2.32
Co 0.2500 0.1455 0.5656  4 Si 2.26-2.32
Co 0.2500 0.6455 0.9344  4 Si 2.26-2.32
Co 0.7500 0.3545 0.0656  4 Si 2.26-2.32
Co 0.7500 0.8545 0.4344  4 Si 2.26-2.32

Output
The calculation puts the uncorrected formation energy at -20.27 kcal/mol of atoms.

---

# AlTc5

A geometry-optimized AlTc5 structure (GGA-PBEsol, Alexandria via LeMat-Bulk).

Cell: 2.8769 5.0014 6.3867 Å, 106.99 90.00 106.71°
Last column: nearest neighbours and their distance in Å.
Fractional coordinates of all 6 atoms:
Tc 0.7059 0.4119 0.9223  9 Tc 2.60-2.88, 3 Al 2.63-2.74
Tc 0.3463 0.6926 0.6851  10 Tc 2.63-2.88, 2 Al 2.65
Tc 0.0587 0.1174 0.5895  11 Tc 2.59-2.88
Tc 0.6773 0.3546 0.3527  10 Tc 2.57-2.88, 2 Al 2.67
Tc 0.3731 0.7462 0.2609  10 Tc 2.57-2.88, 2 Al 2.68
Al 0.0053 0.0107 0.0228  9 Tc 2.63-2.74, 2 Al 2.88

Output
Its formation energy is -0.089 eV/atom. The offset from the most stable computed form comes out at 21 meV/atom.

---

# Hg3Pb2

A geometry-optimized Hg3Pb2 structure (GGA-PBEsol, Alexandria via LeMat-Bulk).

Cell: 3.4746 3.4746 12.5460 Å, 82.04 82.04 60.00°
Last column: nearest neighbours and their distance in Å.
Fractional coordinates of all 5 atoms:
Hg 0.0000 0.0000 0.0000  6 Pb 3.23, 6 Hg 3.47
Hg 0.8031 0.8031 0.5908  3 Hg 3.01, 3 Pb 3.23
Hg 0.1969 0.1969 0.4092  3 Hg 3.01, 3 Pb 3.23
Pb 0.5985 0.5985 0.2046  6 Hg 3.23, 6 Pb 3.47
Pb 0.4015 0.4015 0.7954  6 Hg 3.23, 6 Pb 3.47

Output
Its formation energy is 0.020 eV/atom.

---

# Pt2RhW

A geometry-optimized Pt2RhW structure (GGA-PBEsol, Alexandria via LeMat-Bulk).

Cell: 2.7289 3.9537 5.4128 Å, 90.00 90.00 90.00°
Last column: nearest neighbours and their distance in Å.
Fractional coordinates of all 4 atoms:
W 0.5000 0.5000 0.5000  2 Rh 2.71, 2 W 2.73, 8 Pt 2.75
Rh 0.5000 0.5000 0.0000  2 W 2.71, 2 Rh 2.73, 8 Pt 2.76
Pt 0.0000 0.0000 0.2527  4 Pt 2.68-2.74, 4 W 2.75, 4 Rh 2.76
Pt 0.0000 0.0000 0.7473  4 Pt 2.68-2.74, 4 W 2.75, 4 Rh 2.76

Output
Its formation energy is -0.230 eV/atom. The offset from the most stable computed form comes out at 57 meV/atom.

---

# Be2CdTc

A geometry-optimized Be2CdTc structure (GGA-PBEsol, Alexandria via LeMat-Bulk).

Cell: 2.8204 2.8204 6.2293 Å, 90.00 90.00 90.00°
Last column: nearest neighbours and their distance in Å.
Fractional coordinates of all 4 atoms:
Tc 0.5000 0.5000 0.8123  5 Be 2.36-2.38
Be 0.0000 0.0000 0.0212  4 Be 2.26, 4 Tc 2.38
Be 0.5000 0.5000 0.1915  4 Be 2.26, 1 Tc 2.36
Cd 0.0000 0.0000 0.4750  5 Be 2.66-2.83, 4 Cd 2.82, 4 Tc 2.90

Output
Its formation energy is 0.263 eV/atom.

---

# MnTcNi6

A geometry-optimized MnTcNi6 structure (GGA-PBEsol, Alexandria via LeMat-Bulk).

Cell: 6.1250 6.1250 10.0023 Å, 90.00 90.00 109.45°
Last column: nearest neighbours and their distance in Å.
Fractional coordinates of all 32 atoms:
Tc 0.0000 0.0000 0.7547  12 Ni 2.45-2.55
Tc 0.7497 0.2503 0.5000  12 Ni 2.49-2.50
Tc 0.2503 0.7497 0.5000  12 Ni 2.49-2.50
Tc 0.0000 0.0000 0.2453  12 Ni 2.45-2.55
Ni 0.0000 0.0000 0.5000  8 Ni 2.50, 4 Tc 2.50-2.55
Ni 0.6258 0.8754 0.8749  1 Tc 2.47, 3 Mn 2.49-2.50, 8 Ni 2.50-2.51
Ni 0.8754 0.6258 0.8749  1 Tc 2.47, 3 Mn 2.49-2.50, 8 Ni 2.50-2.51
Ni 0.3742 0.1246 0.8749  1 Tc 2.47, 3 Mn 2.49-2.50, 8 Ni 2.50-2.51
Ni 0.7507 0.2493 0.7486  8 Ni 2.48-2.51, 2 Tc 2.49, 2 Mn 2.51
Ni 0.1239 0.3743 0.6252  8 Ni 2.48-2.51, 3 Tc 2.50-2.52, 1 Mn 2.52
Ni 0.8761 0.6257 0.6252  8 Ni 2.48-2.51, 3 Tc 2.50-2.52, 1 Mn 2.52
Ni 0.2493 0.7507 0.2514  8 Ni 2.48-2.51, 2 Tc 2.49, 2 Mn 2.51
Ni 0.1246 0.3742 0.8749  1 Tc 2.47, 3 Mn 2.49-2.50, 8 Ni 2.50-2.51
Ni 0.8754 0.6258 0.1251  1 Tc 2.47, 3 Mn 2.49-2.50, 8 Ni 2.50-2.51
Ni 0.3742 0.1246 0.1251  1 Tc 2.47, 3 Mn 2.49-2.50, 8 Ni 2.50-2.51
Ni 0.3743 0.1239 0.6252  8 Ni 2.48-2.51, 3 Tc 2.50-2.52, 1 Mn 2.52
Ni 0.5000 0.5000 0.0000  4 Mn 2.47-2.50, 8 Ni 2.50
Ni 0.6257 0.8761 0.6252  8 Ni 2.48-2.51, 3 Tc 2.50-2.52, 1 Mn 2.52
Ni 0.2493 0.7507 0.7486  8 Ni 2.48-2.51, 2 Tc 2.49, 2 Mn 2.51
Ni 0.6257 0.8761 0.3748  8 Ni 2.48-2.51, 3 Tc 2.50-2.52, 1 Mn 2.52
Ni 0.6258 0.8754 0.1251  1 Tc 2.47, 3 Mn 2.49-2.50, 8 Ni 2.50-2.51
Ni 0.1246 0.3742 0.1251  1 Tc 2.47, 3 Mn 2.49-2.50, 8 Ni 2.50-2.51
Ni 0.0000 0.0000 0.0000  2 Tc 2.45, 8 Ni 2.50, 2 Mn 2.50
Ni 0.3743 0.1239 0.3748  8 Ni 2.48-2.51, 3 Tc 2.50-2.52, 1 Mn 2.52
Ni 0.5000 0.5000 0.5000  2 Tc 2.50, 8 Ni 2.51, 2 Mn 2.53
Ni 0.1239 0.3743 0.3748  8 Ni 2.48-2.51, 3 Tc 2.50-2.52, 1 Mn 2.52
Ni 0.8761 0.6257 0.3748  8 Ni 2.48-2.51, 3 Tc 2.50-2.52, 1 Mn 2.52
Ni 0.7507 0.2493 0.2514  8 Ni 2.48-2.51, 2 Tc 2.49, 2 Mn 2.51
Mn 0.7496 0.2504 0.0000  12 Ni 2.50-2.51
Mn 0.5000 0.5000 0.7528  12 Ni 2.47-2.53
Mn 0.2504 0.7496 0.0000  12 Ni 2.50-2.51
Mn 0.5000 0.5000 0.2472  12 Ni 2.47-2.53

Output
Its formation energy is 0.005 eV/atom.

---

# MnTcNO2

A geometry-optimized MnTcNO2 structure (GGA-PBEsol, Alexandria via LeMat-Bulk).

Cell: 3.8187 3.8187 3.8180 Å, 90.00 90.00 90.00°
Last column: nearest neighbours and their distance in Å.
Fractional coordinates of all 5 atoms:
Mn 0.5000 0.5000 0.5000  8 O 2.70, 4 N 2.70
Tc 0.0000 0.0000 0.0000  2 N 1.91, 4 O 1.91
O 0.5000 0.0000 0.0000  2 Tc 1.91
O 0.0000 0.5000 0.0000  2 Tc 1.91
N 0.0000 0.0000 0.5000  2 Tc 1.91

Output
The calculation puts the uncorrected formation energy at -10.62 kcal/mol of atoms.

---

For the records above, the corresponding calculated total energy values read -5.7112, -7.3289, -7.5915, -4.3611, -4.4126, -5.7881, -5.7877, -8.1475, -10.1595, -1.9192, -9.1979, -4.8527, -7.2420, -8.4711 eV per atom.